The following is a PBE calculation of K3Zn4Au4 after structural relaxation, from Alexandria via LeMat-Bulk.

M_tot (μB/cell): 0.0
Symmetry: I-43m (217)

```
K3Zn4Au4
1.0
7.079 0.000 0.000
-2.360 6.674 0.000
-2.360 -3.337 5.780
K Zn Au
3 4 4
direct
0.500 0.500 0.000
0.500 0.000 0.500
0.000 0.500 0.500
0.000 0.241 0.000
0.000 0.000 0.241
0.241 0.000 0.000
0.759 0.759 0.759
0.000 0.606 0.000
0.606 0.000 0.000
0.000 0.000 0.606
0.394 0.394 0.394
```


The following is a PBE calculation of KZn2Au after structural relaxation, from Alexandria via LeMat-Bulk.

M_tot (μB/cell): 0.0
Symmetry: Pm (6)

```
KZn2Au
1.0
-2.037 -3.800 0.052
0.087 -0.095 -3.530
6.003 -3.228 -0.764
Au K Zn
1 1 2
direct
0.000 0.364 0.434
0.500 0.781 0.723
0.000 0.949 0.139
0.500 0.405 0.203
```


The following is a PBE calculation of K2ZnAu after structural relaxation, from Alexandria via LeMat-Bulk.

M_tot (μB/cell): 0.0
Symmetry: P2/m (10)

```
K2ZnAu
1.0
4.094 0.000 0.000
0.000 4.062 0.002
0.000 4.041 8.139
Au K Zn
1 2 1
direct
0.500 0.750 0.750
0.000 0.019 0.980
0.000 0.481 0.520
0.500 0.250 0.250
```


no.,formation energy from the elements (eV/atom)
1,-0.283
2,-0.019
3,-0.057